1.
Here is a relaxed Ca2BePdN crystal from the Alexandria database. Energies are from GGA-PBE.

E_tot (eV/atom): -4.911
Formation energy from raw total energies (eV per atom): -0.66
Size of the total moment (μB/f.u.): 0.000

a b c (Å): 5.096 5.096 3.268
angles (deg): 90.00 90.00 90.00
Sites, in units of the cell vectors:
N1 0.000 0.000 0.000
Ca1 0.000 0.500 0.000
Ca2 0.500 0.000 0.000
Pd1 0.500 0.500 0.500
Be1 0.000 0.000 0.500


2.
Here is a relaxed YGa2I5 crystal from the Alexandria database. Energies are from GGA-PBE.

E_tot (eV/atom): -3.390
Formation energy from raw total energies (eV per atom): -0.86
Size of the total moment (μB/f.u.): 0.000

a b c (Å): 8.178 11.894 8.873
angles (deg): 65.56 62.56 69.89
Sites, in units of the cell vectors:
I1 0.101 0.533 0.564
I2 0.801 0.033 0.064
I3 0.352 0.822 0.094
I4 0.979 0.645 0.083
I5 0.170 0.245 0.035
I6 0.609 0.422 0.046
I7 0.732 0.322 0.594
I8 0.550 0.745 0.535
I9 0.923 0.922 0.546
I10 0.293 0.145 0.583
Y1 0.951 0.783 0.314
Y2 0.951 0.283 0.814
Ga1 0.316 0.990 0.329
Ga2 0.366 0.490 0.829
Ga3 0.585 0.578 0.301
Ga4 0.536 0.078 0.801